A plane-wave DFT calculation with PBE was carried out for a relaxed CeZn5PdAu2 crystal.

Unit cell a=4.9283 b=4.9283 c=7.5078 alpha=90.00 beta=90.00 gamma=90.00
Fractional positions:
Ce 0.0000 0.0000 0.0000
Zn 0.0000 0.5000 0.3134
Zn 0.0000 0.5000 0.6866
Zn 0.5000 0.0000 0.3134
Zn 0.5000 0.0000 0.6866
Zn 0.5000 0.5000 0.0000
Pd 0.0000 0.0000 0.5000
Au 0.5000 0.5000 0.3194
Au 0.5000 0.5000 0.6806

Calculated values
theoretical density: 8.8 g/cm3
total DFT energy (no corrections): -2.7708 eV/atom
ΔE_f: -0.10 eV per atom
total magnetic moment: 1.25 Bohr magnetons per cell
V: 20.26 A^3/atom